A relaxed CuHgBiO4 crystal. Source: Alexandria via LeMat-Bulk, functional PBE.

Its uncorrected energy is -4.629 eV/atom. Its formation energy (no corrections) is -613.4 meV per atom. The value obtained for the density of states at the Fermi level is 0.3035 states/eV/atom. The calculation puts the total moment at 0.000 μB per cell.

Cell: 6.0367 6.8589 6.7736 Å, 119.59 90.00 116.11°
Fractional coordinates of all 14 atoms:
1 Cu 0.5000 0.5000 0.5000
2 Cu 0.0000 0.5000 0.5000
3 Hg 0.8219 0.6439 0.0719
4 Hg 0.1781 0.3561 0.9281
5 Bi 0.5000 0.0000 0.5000
6 Bi 0.5000 0.0000 0.0000
7 O 0.7192 0.4385 0.6575
8 O 0.2439 0.9636 0.2318
9 O 0.7197 0.9636 0.2318
10 O 0.7192 0.4385 0.2810
11 O 0.2808 0.5615 0.7190
12 O 0.7561 0.0364 0.7682
13 O 0.2803 0.0364 0.7682
14 O 0.2808 0.5615 0.3425